No. 1
The following is a DFT calculation (PBE) of Ac6OsRh2Br3 after structural relaxation.

Calculated values
- total energy (eV/atom) = -5.666
- E_form (uncorrected) (eV per atom) = -1.033

Cell and atoms, written as POSCAR:
```
Ac6OsRh2Br3
1.0
3.7490 -6.4935 0.0000
3.7490 6.4935 0.0000
-2.4998 0.0000 8.2980
Ac Os Rh Br
6 1 2 3
direct
0.0650 0.3935 0.1948
0.2636 0.2636 0.8051
0.3935 0.0650 0.1948
0.6065 0.9350 0.8052
0.7364 0.7364 0.1949
0.9350 0.6065 0.8052
0.0000 0.0000 0.0000
0.3332 0.6667 0.0000
0.6667 0.3332 0.0000
0.1646 0.8354 0.5000
0.5000 0.5000 0.5000
0.8354 0.1646 0.5000
```

***

No. 2
The following is a DFT calculation (PBE) of Tm2ScRu3 after structural relaxation.

Calculated values
- total energy (eV/atom) = -7.633
- calculated formation energy (meV/atom) = -449.8

Cell and atoms, written as POSCAR:
```
Tm2ScRu3
1.0
3.3142 0.0000 0.0000
0.0000 3.3142 0.0000
0.0000 0.0000 9.8719
Tm Sc Ru
2 1 3
direct
0.0000 0.0000 0.1706
0.0000 0.0000 0.8294
0.0000 0.0000 0.5000
0.5000 0.5000 0.0000
0.5000 0.5000 0.3421
0.5000 0.5000 0.6579
```

***

No. 3
The following is a DFT calculation (PBE) of Na2LiAuF6 after structural relaxation.

Calculated values
- total energy (eV/atom) = -3.989
- E_form (uncorrected) (eV per atom) = -2.083

Cell and atoms, written as POSCAR:
```
Na2LiAuF6
1.0
4.9257 0.0000 0.0000
-2.4463 5.3090 0.0000
-0.0771 -2.9759 5.2157
Na Li Au F
2 1 1 6
direct
0.2325 0.4419 0.1705
0.7675 0.5581 0.8295
0.5000 0.0000 0.0000
0.0000 0.0000 0.5000
0.1367 0.9827 0.8004
0.2712 0.6012 0.8865
0.4126 0.1741 0.4424
0.5874 0.8259 0.5576
0.7288 0.3988 0.1135
0.8633 0.0173 0.1996
```